PBE CdIn2TeAs, relaxed; energy = -11.215 eV per cell; SG = P4/mmm, No. 123
1.0
5.4288 0.0000 0.0000
0.0000 5.6385 0.0000
0.0000 0.0000 5.4288
In As Te Cd
2 1 1 1
Direct
0.0000 0.0000 0.5000
0.5000 0.0000 0.0000
0.5000 0.5000 0.5000
0.0000 0.5000 0.0000
0.0000 0.0000 0.0000

***

PBE CdIn3Te4As, relaxed; energy = -29.429 eV per cell; SG = P1, No. 1
1.0
6.3250 0.0031 0.0051
-3.1451 -7.0431 -0.0209
-3.1301 0.0404 -7.1087
Te In Cd As
4 3 1 1
Direct
0.3977 0.3124 0.9264
0.1173 0.6672 0.1069
0.7524 0.4903 0.4714
0.9322 0.1291 0.2932
0.5935 0.8031 0.4068
0.3933 0.1863 0.6006
0.2112 0.6096 0.7958
0.9969 0.9996 0.9959
0.5554 0.9023 0.7031

***

PBE Cd4InTe4As, relaxed; energy = -25.682 eV per cell; SG = I4/mmm, No. 139
1.0
-2.1309 2.1309 15.2700
2.1309 -2.1309 15.2700
2.1309 2.1309 -15.2700
Te Cd In As
4 4 1 1
Direct
0.6010 0.6010 0.0000
0.1981 0.1981 0.0000
0.3990 0.3990 0.0000
0.8019 0.8019 0.0000
0.2975 0.2975 0.0000
0.7025 0.7025 0.0000
0.0926 0.0926 0.0000
0.9074 0.9074 0.0000
0.5000 0.5000 0.0000
0.0000 0.0000 0.0000

***

PBE VCd2InAs, relaxed; energy of formation from the pure elements = 109 kJ per mole of atoms; SG = P4/mmm, No. 123
1.0
5.1975 0.0000 0.0000
0.0000 5.3888 0.0000
0.0000 0.0000 5.1975
As Cd In V
1 2 1 1
Direct
0.0000 0.0000 0.0000
0.5000 0.0000 0.0000
0.0000 0.0000 0.5000
0.0000 0.5000 0.0000
0.5000 0.5000 0.5000

***

PBE YCd2InAs, relaxed; energy of formation from the pure elements = 29 kJ per mole of atoms; SG = P4/mmm, No. 123
1.0
6.0613 0.0000 0.0000
0.0000 5.3948 0.0000
0.0000 0.0000 6.0613
Y Cd As In
1 2 1 1
Direct
0.0000 0.0000 0.0000
0.5000 0.0000 0.0000
0.0000 0.0000 0.5000
0.0000 0.5000 0.0000
0.5000 0.5000 0.5000

***

PBE CdAs2Ir, relaxed; energy of formation from the pure elements = 7 kJ per mole of atoms; SG = R-3m, No. 166
1.0
9.9435 0.0162 0.0095
9.4732 3.0222 0.0095
9.4732 1.4824 2.6337
Cd Ir As
1 1 2
Direct
0.2500 0.2500 0.2500
0.7500 0.7500 0.7500
0.4818 0.4818 0.4818
0.0182 0.0182 0.0182

***

PBE CdAs2Ir, relaxed; energy of formation from the pure elements = 15 kJ per mole of atoms; SG = R3m, No. 160
1.0
-0.9239 7.5817 -5.4064
0.4998 5.7165 -7.3916
-2.5535 5.5747 -7.0687
Ir As Cd
1 2 1
Direct
0.7425 0.7425 0.7425
0.0124 0.0124 0.0124
0.2518 0.2518 0.2518
0.4934 0.4934 0.4934

***

PBE CdAs2Ir, relaxed; energy of formation from the pure elements = 34 kJ per mole of atoms; SG = P4/mmm, No. 123
1.0
4.3032 0.0000 0.0000
0.0000 4.3032 0.0000
0.0000 0.0000 3.8610
As Ir Cd
2 1 1
Direct
0.0000 0.0000 0.0000
0.5000 0.5000 0.0000
0.0000 0.5000 0.5000
0.5000 0.0000 0.5000

***

PBE CdAs4Ir, relaxed; energy of formation from the pure elements = 72 kJ per mole of atoms; SG = F-43m, No. 216
1.0
-0.7796 3.0596 4.4819
-4.3473 -0.9057 3.2152
0.6808 -2.2016 4.9745
As Ir Cd
4 1 1
Direct
0.3762 0.3762 0.3762
0.3762 0.3762 0.8715
0.3762 0.8715 0.3762
0.8715 0.3762 0.3762
0.0000 0.0000 0.0000
0.7500 0.7500 0.7500

***

PBE CdAs2Ir, relaxed; energy of formation from the pure elements = 19 kJ per mole of atoms; SG = Pmm2, No. 25
1.0
3.0531 0.0000 0.0000
0.0000 4.0382 0.0000
0.0000 0.0000 6.0435
Ir As Cd
1 2 1
Direct
0.5000 0.5000 0.8221
0.0000 0.0000 0.9466
0.5000 0.5000 0.2446
0.0000 0.0000 0.4867

***

PBE CdAs2Ir, relaxed; energy of formation from the pure elements = 24 kJ per mole of atoms; SG = Cmm2, No. 35
1.0
2.9300 -0.0063 0.0000
-1.4435 2.5497 0.0000
0.0000 0.0000 10.1736
As Ir Cd
2 1 1
Direct
0.0000 0.0000 0.9570
0.5000 0.5000 0.2664
0.5000 0.5000 0.7587
0.0000 0.0000 0.5179

***

PBE CdAsIr, relaxed; energy of formation from the pure elements = -1 kJ per mole of atoms; polymorph energy (0 for the lowest one) = 0.047 eV per atom; SG = P3m1, No. 156
1.0
3.3015 0.0000 0.0000
-1.6508 2.8592 0.0000
0.0000 0.0000 6.2754
Cd As Ir
1 1 1
Direct
0.3333 0.6667 0.3592
0.0000 0.0000 0.9394
0.6667 0.3333 0.7015